A geometry-optimized Na3SmPd structure, computed with PBE-GGA.

Unit cell a=10.091 b=10.091 c=4.904 alpha=90.00 beta=90.00 gamma=120.14
Atoms (fractional coordinates):
1 Na 0.144 0.287 0.750
2 Na 0.144 0.856 0.750
3 Na 0.287 0.144 0.250
4 Na 0.713 0.856 0.750
5 Na 0.856 0.144 0.250
6 Na 0.856 0.713 0.250
7 Sm 0.333 0.667 0.750
8 Sm 0.667 0.333 0.250
9 Pd 0.000 0.000 0.000
10 Pd 0.000 0.000 0.500

Output
* space group: Cmcm (63)
* spin magnetization: 1.86 μB per formula unit
* uncorrected energy: -2.04 eV/atom